No. 1
Density functional theory data (PBE) for crystalline NbAgAu2 at its relaxed geometry.

The structure in extended XYZ format:
```
4
Lattice="0.0000 3.2829 3.2829 3.2829 0.0000 3.2829 3.2829 3.2829 0.0000" Properties=species:S:1:pos:R:3 pbc="T T T"
Nb 0.0000 0.0000 0.0000
Ag 1.6415 1.6415 1.6415
Au 3.2829 3.2829 3.2829
Au 4.9244 4.9244 4.9244
```

Values from the calculation:
- total magnetization (μB per cell) = 0.01
- symmetry = F-43m, No. 216
- energy of formation (eV/atom) = 0.11

---

No. 2
Density functional theory data (PBE) for crystalline ScOsPd at its relaxed geometry.

The structure in extended XYZ format:
```
3
Lattice="0.0000 3.0771 3.0771 3.0771 0.0000 3.0771 3.0771 3.0771 0.0000" Properties=species:S:1:pos:R:3 pbc="T T T"
Sc 0.0000 0.0000 0.0000
Os 4.6156 4.6156 4.6156
Pd 3.0771 3.0771 3.0771
```

Values from the calculation:
- total magnetization (μB per cell) = 1.40
- symmetry = F-43m, No. 216
- energy of formation (eV/atom) = 0.34
- energy above the most stable polymorph in this dataset (eV per formula unit) = 0.000

---

No. 3
Density functional theory data (PBE) for crystalline RbLuFeSe3 at its relaxed geometry.

The structure in extended XYZ format:
```
12
Lattice="9.3363 0.0000 0.0000 0.0000 4.0364 0.0000 -3.5503 0.0000 9.2137" Properties=species:S:1:pos:R:3 pbc="T T T"
Rb 1.1369 1.0091 2.2078
Rb 4.6491 3.0273 7.0059
Lu 0.0698 3.0273 7.8947
Lu 5.7163 1.0091 1.3190
Fe -1.4095 1.0091 5.4285
Fe 7.1955 3.0273 3.7852
Se -1.9154 1.0091 7.8026
Se 0.0188 3.0273 4.9861
Se 3.7909 3.0273 1.4464
Se 1.9952 1.0091 7.7674
Se 5.7672 1.0091 4.2276
Se 7.7015 3.0273 1.4112
```

Values from the calculation:
- total energy (eV/f.u.) = -31.5
- total magnetization (μB per cell) = 7.70
- symmetry = P2_1/m, No. 11

---

No. 4
Density functional theory data (PBE) for crystalline Ba3LuIr2O9 at its relaxed geometry.

The structure in extended XYZ format:
```
30
Lattice="5.8452 0.0000 0.0000 -2.9226 5.0621 0.0000 0.0000 0.0000 14.4770" Properties=species:S:1:pos:R:3 pbc="T T T"
Ba 0.0000 0.0000 3.6192
Ba 0.0000 0.0000 10.8577
Ba 0.0000 3.3747 1.3172
Ba 0.0000 3.3747 5.9213
Ba 2.9226 1.6874 8.5557
Ba 2.9226 1.6874 13.1598
Lu 0.0000 0.0000 0.0000
Lu 0.0000 0.0000 7.2385
Ir 0.0000 3.3747 9.6032
Ir 0.0000 3.3747 12.1123
Ir 2.9226 1.6874 2.3647
Ir 2.9226 1.6874 4.8738
O -1.4019 2.5654 10.8577
O 0.0000 1.7612 8.4702
O 0.0000 1.7612 13.2453
O -1.3973 4.1815 8.4702
O -1.3973 4.1815 13.2453
O 1.5253 0.8806 1.2317
O 1.5253 0.8806 6.0068
O 1.4019 2.5654 10.8577
O 0.0000 4.9934 10.8577
O 2.9226 0.0686 3.6192
O 1.5207 2.4967 3.6192
O 1.3973 4.1815 8.4702
O 1.3973 4.1815 13.2453
O 4.3199 0.8806 1.2317
O 4.3199 0.8806 6.0068
O 2.9226 3.3009 1.2317
O 2.9226 3.3009 6.0068
O 4.3244 2.4967 3.6192
```

Values from the calculation:
- total energy (eV/f.u.) = -104.6
- total magnetization (μB per cell) = 0.00
- symmetry = P6_3/mmc, No. 194

---

No. 5
Density functional theory data (PBE) for crystalline RbLaZnO3 at its relaxed geometry.

The structure in extended XYZ format:
```
12
Lattice="1.8405 -6.1670 0.0000 1.8405 6.1670 0.0000 0.0000 0.0000 9.6620" Properties=species:S:1:pos:R:3 pbc="T T T"
Rb 1.8405 3.3197 7.2465
Rb 1.8405 -3.3197 2.4155
La 1.8405 0.0000 0.0000
La 1.8405 0.0000 4.8310
Zn 1.8405 5.5877 2.4155
Zn 1.8405 -5.5877 7.2465
O 1.8405 4.7689 0.6786
O 1.8405 4.7689 4.1524
O 1.8405 0.5234 2.4155
O 1.8405 -0.5234 7.2465
O 1.8405 -4.7689 5.5096
O 1.8405 -4.7689 8.9834
```

Values from the calculation:
- total energy (eV/f.u.) = -35.0
- total magnetization (μB per cell) = 0.00
- symmetry = Cmcm, No. 63

---

No. 6
Density functional theory data (PBE) for crystalline Li4Zn2NiAg at its relaxed geometry.

The structure in extended XYZ format:
```
8
Lattice="4.2507 0.0000 0.0000 0.0000 4.2507 0.0000 0.0000 0.0000 6.0303" Properties=species:S:1:pos:R:3 pbc="T T T"
Li 0.0000 0.0000 0.0000
Li 0.0000 2.1253 1.4383
Li 2.1253 0.0000 4.5920
Li 2.1253 2.1253 3.0151
Zn 0.0000 2.1253 4.7041
Zn 2.1253 0.0000 1.3261
Ni 2.1253 2.1253 0.0000
Ag 0.0000 0.0000 3.0151
```

Values from the calculation:
- total energy (eV/f.u.) = -20.0
- total magnetization (μB per cell) = 0.03
- symmetry = P-4m2, No. 115

---

No. 7
Density functional theory data (PBE) for crystalline Dy2Tc2O5 at its relaxed geometry.

The structure in extended XYZ format:
```
9
Lattice="3.5699 0.0000 0.0000 0.0000 3.5699 0.0000 0.0000 0.0000 9.4059" Properties=species:S:1:pos:R:3 pbc="T T T"
Dy 0.0000 0.0000 2.2734
Dy 0.0000 0.0000 7.1325
Tc 1.7850 1.7850 0.0000
Tc 1.7850 1.7850 4.7030
O 0.0000 0.0000 0.0000
O 0.0000 1.7850 3.5267
O 0.0000 1.7850 5.8792
O 1.7850 0.0000 3.5267
O 1.7850 0.0000 5.8792
```

Values from the calculation:
- total magnetization (μB per cell) = 3.46
- symmetry = P4/mmm, No. 123
- energy above the most stable polymorph in this dataset (eV per formula unit) = 2.892

---

No. 8
Density functional theory data (PBE) for crystalline Y2LuAl at its relaxed geometry.

The structure in extended XYZ format:
```
4
Lattice="0.0000 3.7689 3.7689 3.7689 0.0000 3.7689 3.7689 3.7689 0.0000" Properties=species:S:1:pos:R:3 pbc="T T T"
Y 0.0000 0.0000 0.0000
Y 1.8845 1.8845 1.8845
Lu 5.6534 5.6534 5.6534
Al 3.7689 3.7689 3.7689
```

Values from the calculation:
- total energy (eV/f.u.) = -21.3
- total magnetization (μB per cell) = 0.73
- symmetry = F-43m, No. 216